Compound: TaTeSCl2
Source: Alexandria
Functional: PBE
Structure: relaxed

Cell and atoms, written as CIF:
```
data_TaTeSCl2
_chemical_formula_sum 'Ta1 Te1 S1 Cl2'
_cell_length_a 4.926
_cell_length_b 4.926
_cell_length_c 4.842
_cell_angle_alpha 90.00
_cell_angle_beta 90.00
_cell_angle_gamma 90.00
_symmetry_space_group_name_H-M 'P 1'
_symmetry_Int_Tables_number 1
loop_
_symmetry_equiv_pos_as_xyz
'x,y,z'
loop_
_atom_site_label
_atom_site_type_symbol
_atom_site_fract_x
_atom_site_fract_y
_atom_site_fract_z
_atom_site_occupancy
Ta1 Ta 0.000 0.000 0.000 1
Te1 Te 0.500 0.500 0.500 1
S1 S 0.000 0.000 0.500 1
Cl1 Cl 0.000 0.500 0.000 1
Cl2 Cl 0.500 0.000 0.000 1
```

Computed properties:
M_tot: 1.81 μB/f.u.
offset from the most stable computed form: 0 meV/atom
ΔE_f (raw): -77 kJ/mol of formula units
total energy: -23.61 eV/cell
space group: No. 123